(1)
## Tb4Ho3Pu (GGA-PBE)

Data for a relaxed structure of Tb4Ho3Pu.

Properties
E_form: 0.057 eV/atom
M_tot: 0.819 μB per atom
Raw total energy: -5.766 eV per atom

a b c (Å): 4.9632 9.9666 10.0010
angles (deg): 90.00 90.00 90.00
Last column: magnetic moment on the atom in μB.
Element x y z (fractional)
Ho (0.0644, 0.3800, 0.5000)  0.09
Tb (0.5644, 0.1281, 0.0000)  0.07
Pu (0.0644, 0.3741, 0.0000)  5.59
Tb (0.0644, 0.8719, 0.5000)  0.07
Tb (0.5644, 0.1260, 0.5000)  -0.10
Ho (0.0644, 0.6217, 0.2504)  0.17
Tb (0.0644, 0.1288, 0.7518)  0.02
Tb (0.0644, 0.1288, 0.2482)  0.02
Pu (0.5644, 0.6259, 0.5000)  5.59
Ho (0.5644, 0.3783, 0.7504)  0.17
Tb (0.0644, 0.8740, 0.0000)  -0.10
Ho (0.5644, 0.6200, 0.0000)  0.09
Ho (0.5644, 0.3783, 0.2496)  0.17
Ho (0.0644, 0.6217, 0.7496)  0.17
Tb (0.5644, 0.8712, 0.7482)  0.02
Tb (0.5644, 0.8712, 0.2518)  0.02



(2)
## Na2UInO5 (GGA-PBE)

Data for a relaxed structure of Na2UInO5.

Properties
M_tot: 0.069 μB per atom
Raw total energy: -6.625 eV per atom

a b c (Å): 4.1569 4.1569 8.4465
angles (deg): 90.00 90.00 90.00
Last column: magnetic moment on the atom in μB.
Element x y z (fractional)
In (0.0000, 0.0000, 0.0000)  0.01
O (0.5000, 0.5000, 0.0000)  0.00
O (0.0000, 0.5000, 0.5000)  -0.02
O (0.5000, 0.0000, 0.5000)  -0.02
O (0.0000, 0.0000, 0.7477)  -0.01
Na (0.5000, 0.5000, 0.2607)  0.00
Na (0.5000, 0.5000, 0.7393)  0.00
U (0.0000, 0.0000, 0.5000)  0.63
O (0.0000, 0.0000, 0.2523)  -0.01



(3)
## LiLaAl2 (GGA-PBE)

Data for a relaxed structure of LiLaAl2.

Properties
E_form: -0.095 eV/atom
M_tot: 0.000 μB per atom
Raw total energy: -3.676 eV per atom

a b c (Å): 3.4285 3.4285 7.4473
angles (deg): 90.00 90.00 90.00
Element x y z (fractional)
Al (0.0000, 0.0000, 0.9995)
Al (0.5000, 0.5000, 0.1982)
Li (0.5000, 0.5000, 0.8147)
La (0.0000, 0.0000, 0.4876)



(4)
## AcHgRu2O8 (GGA-PBE)

Data for a relaxed structure of AcHgRu2O8.

Properties
M_tot: 0.253 μB per atom
Raw total energy: -6.435 eV per atom

a b c (Å): 6.4856 6.4856 8.0167
angles (deg): 90.00 90.00 120.00
Last column: magnetic moment on the atom in μB.
Element x y z (fractional)
O (0.3333, 0.6667, 0.9631)  0.17
O (0.1820, 0.3695, 0.6680)  0.12
Ac (0.0000, 0.0000, 0.5000)  0.03
O (0.6305, 0.8124, 0.6680)  0.12
O (0.8180, 0.6305, 0.3320)  0.12
O (0.1876, 0.8180, 0.6680)  0.12
Ru (0.3333, 0.6667, 0.7477)  0.77
O (0.3695, 0.1876, 0.3320)  0.12
O (0.8124, 0.1820, 0.3320)  0.12
Hg (0.0000, 0.0000, 0.0000)  0.00
Ru (0.6667, 0.3333, 0.2523)  0.77
O (0.6667, 0.3333, 0.0369)  0.17



(5)
## Cs5PtBr (GGA-PBE)

Data for a relaxed structure of Cs5PtBr.

Properties
M_tot: 0.000 μB per atom
Raw total energy: -2.200 eV per atom

a b c (Å): 9.4954 9.4954 12.7803
angles (deg): 70.72 70.72 68.67
Element x y z (fractional)
Cs (0.3321, 0.7269, 0.5334)
Cs (0.7269, 0.3321, 0.0334)
Cs (0.2765, 0.1986, 0.8707)
Cs (0.8014, 0.7235, 0.6293)
Cs (0.9052, 0.0948, 0.7500)
Pt (0.0000, 0.0000, 0.5000)
Br (0.4431, 0.5569, 0.2500)
Cs (0.6679, 0.2731, 0.4666)
Cs (0.1986, 0.2765, 0.3707)
Cs (0.2731, 0.6679, 0.9666)
Cs (0.0948, 0.9052, 0.2500)
Br (0.5569, 0.4431, 0.7500)
Cs (0.7235, 0.8014, 0.1293)
Pt (0.0000, 0.0000, 0.0000)



(6)
## CeNi3Os (GGA-PBE)

Data for a relaxed structure of CeNi3Os.

Properties
E_form: -0.170 eV/atom
M_tot: 0.000 μB per atom
Raw total energy: -7.072 eV per atom

a b c (Å): 4.9608 5.1467 6.6003
angles (deg): 112.95 90.00 90.00
Element x y z (fractional)
Ce (0.7500, 0.6166, 0.2332)
Ni (0.7500, 0.6071, 0.6937)
Os (0.5000, 0.0000, 0.0000)
Ce (0.2500, 0.3834, 0.7668)
Ni (0.7500, 0.1840, 0.3680)
Ni (0.2500, 0.8160, 0.6320)
Ni (0.7500, 0.0867, 0.6937)
Ni (0.2500, 0.9133, 0.3063)
Os (0.0000, 0.0000, 0.0000)
Ni (0.2500, 0.3929, 0.3063)



(7)
## LiBeSi2 (GGA-PBE)

Data for a relaxed structure of LiBeSi2.

Properties
M_tot: 0.000 μB per atom
Raw total energy: -3.885 eV per atom

a b c (Å): 2.6242 2.6242 7.3831
angles (deg): 90.00 90.00 89.99
Element x y z (fractional)
Si (0.0000, 0.0000, 0.0015)
Li (0.5000, 0.5000, 0.7360)
Be (0.0000, 0.0000, 0.4826)
Si (0.5000, 0.5000, 0.2799)



(8)
## Tb2NdSmHg4 (GGA-PBE)

Data for a relaxed structure of Tb2NdSmHg4.

Properties
E_form: -0.472 eV/atom
M_tot: 0.166 μB per atom
Raw total energy: -2.966 eV per atom

a b c (Å): 5.3478 5.3478 9.2483
angles (deg): 73.19 73.19 60.00
Last column: magnetic moment on the atom in μB.
Element x y z (fractional)
Tb (0.2499, 0.2499, 0.2504)  0.21
Hg (0.8742, 0.8742, 0.3775)  0.02
Hg (0.1258, 0.1258, 0.6225)  0.02
Tb (0.7501, 0.7501, 0.7496)  0.21
Hg (0.6241, 0.6241, 0.1276)  0.02
Sm (0.5000, 0.5000, 0.5000)  0.14
Hg (0.3759, 0.3759, 0.8724)  0.02
Nd (0.0000, 0.0000, 0.0000)  0.17



(9)
## KMg6Fe (GGA-PBE)

Data for a relaxed structure of KMg6Fe.

Properties
E_form: 0.190 eV/atom
M_tot: 0.264 μB per atom
Raw total energy: -2.201 eV per atom

a b c (Å): 7.8696 7.8696 3.1534
angles (deg): 90.00 90.00 89.99
Last column: magnetic moment on the atom in μB.
Element x y z (fractional)
Fe (0.1251, 0.8749, 0.5000)  2.40
K (0.6251, 0.3749, 0.5000)  0.00
Mg (0.6248, 0.8750, 0.5000)  0.00
Mg (0.9268, 0.6770, 0.0000)  -0.02
Mg (0.3230, 0.0732, 0.0000)  -0.02
Mg (0.9271, 0.0729, 0.0000)  -0.02
Mg (0.1250, 0.3752, 0.5000)  0.00
Mg (0.3231, 0.6769, 0.0000)  -0.02



(10)
## AsHSe2S (GGA-PBE)

Data for a relaxed structure of AsHSe2S.

Properties
M_tot: 0.144 μB per atom
Raw total energy: -3.240 eV per atom

a b c (Å): 3.7917 3.7917 7.6177
angles (deg): 90.00 90.00 90.00
Last column: magnetic moment on the atom in μB.
Element x y z (fractional)
Se (0.5000, 0.0000, 0.0000)  0.00
S (0.5000, 0.5000, 0.5000)  -0.01
Se (0.0000, 0.5000, 0.0000)  0.00
As (0.0000, 0.0000, 0.5000)  0.35
H (0.0000, 0.0000, 0.0000)  0.00



(11)
## HoAlC (GGA-PBE)

Data for a relaxed structure of HoAlC.

Properties
E_form: -0.258 eV/atom
M_tot: 0.000 μB per atom
Raw total energy: -6.107 eV per atom

a b c (Å): 4.9699 3.4163 3.4163
angles (deg): 120.00 90.00 90.00
Element x y z (fractional)
C (0.3633, 0.3333, 0.6667)
Al (0.5505, 0.6667, 0.3333)
Ho (0.0862, 0.0000, 0.0000)



(12)
## Ac2Sm7Tm3 (GGA-PBE)

Data for a relaxed structure of Ac2Sm7Tm3.

Properties
E_form: 0.095 eV/atom
M_tot: 0.000 μB per atom
Raw total energy: -4.460 eV per atom

a b c (Å): 3.6198 6.4617 18.3766
angles (deg): 104.17 90.00 90.00
Element x y z (fractional)
Tm (0.0000, 0.1083, 0.6587)
Sm (0.0000, 0.5606, 0.8413)
Tm (0.0000, 0.8917, 0.3413)
Sm (0.0000, 0.4394, 0.1587)
Ac (0.5000, 0.3888, 0.3270)
Sm (0.5000, 0.2358, 0.4976)
Tm (0.5000, 0.5000, 0.0000)
Sm (0.0000, 0.0000, 0.0000)
Sm (0.5000, 0.7642, 0.5024)
Sm (0.5000, 0.0664, 0.8345)
Sm (0.5000, 0.9336, 0.1655)
Ac (0.5000, 0.6112, 0.6730)